Ca2Zn9Cu6: relaxed, PBE. Values from VASP.

## Properties
Spin magnetization = 0.0 μB/f.u.

Geometry as Quantum ESPRESSO input:
```
&SYSTEM
  ibrav = 0, nat = 17, ntyp = 3
/
ATOMIC_SPECIES
Ca 40.08 Ca.upf
Zn 65.41 Zn.upf
Cu 63.55 Cu.upf
CELL_PARAMETERS angstrom
5.226 0.000 0.000
-2.613 4.526 0.000
0.000 0.000 12.457
ATOMIC_POSITIONS crystal
Ca 0.000 0.000 0.171
Ca 0.000 0.000 0.829
Zn 0.000 0.500 0.000
Zn 0.000 0.500 0.338
Zn 0.000 0.500 0.662
Zn 0.500 0.000 0.000
Zn 0.500 0.000 0.338
Zn 0.500 0.000 0.662
Zn 0.500 0.500 0.000
Zn 0.500 0.500 0.338
Zn 0.500 0.500 0.662
Cu 0.333 0.667 0.170
Cu 0.333 0.667 0.500
Cu 0.333 0.667 0.830
Cu 0.667 0.333 0.170
Cu 0.667 0.333 0.500
Cu 0.667 0.333 0.830
```



Sn2Pd3Au2: relaxed, PBE. Values from VASP.

## Properties
Spin magnetization = 0.0 μB/f.u.

Geometry as Quantum ESPRESSO input:
```
&SYSTEM
  ibrav = 0, nat = 7, ntyp = 3
/
ATOMIC_SPECIES
Sn 118.71 Sn.upf
Pd 106.42 Pd.upf
Au 196.97 Au.upf
CELL_PARAMETERS angstrom
4.542 0.000 0.000
-2.216 4.007 0.000
-0.152 -2.591 7.062
ATOMIC_POSITIONS crystal
Sn 0.098 0.192 0.293
Sn 0.902 0.808 0.707
Pd 0.231 0.460 0.690
Pd 0.500 0.000 0.500
Pd 0.769 0.540 0.310
Au 0.364 0.731 0.093
Au 0.636 0.269 0.907
```



LaNd6Y2Ho3: relaxed, PBE. Values from VASP.

## Properties
Spin magnetization = 0.0 μB/f.u.

Geometry as Quantum ESPRESSO input:
```
&SYSTEM
  ibrav = 0, nat = 12, ntyp = 4
/
ATOMIC_SPECIES
La 138.91 La.upf
Nd 144.24 Nd.upf
Y 88.91 Y.upf
Ho 164.93 Ho.upf
CELL_PARAMETERS angstrom
3.151 -5.458 0.000
3.151 5.458 0.000
-2.099 0.000 11.783
ATOMIC_POSITIONS crystal
La 0.000 0.000 0.000
Nd 0.085 0.418 0.254
Nd 0.249 0.249 0.746
Nd 0.418 0.085 0.254
Nd 0.582 0.915 0.746
Nd 0.751 0.751 0.254
Nd 0.915 0.582 0.746
Y 0.333 0.667 0.000
Y 0.667 0.333 0.000
Ho 0.167 0.833 0.500
Ho 0.500 0.500 0.500
Ho 0.833 0.167 0.500
```



Sm2Ni4P3Ir: relaxed, PBE. Values from VASP.

## Properties
Spin magnetization = 0.0 μB/f.u.

Geometry as Quantum ESPRESSO input:
```
&SYSTEM
  ibrav = 0, nat = 10, ntyp = 4
/
ATOMIC_SPECIES
Sm 150.36 Sm.upf
Ni 58.69 Ni.upf
P 30.97 P.upf
Ir 192.22 Ir.upf
CELL_PARAMETERS angstrom
3.915 0.000 0.000
0.000 3.915 0.000
0.000 0.000 9.858
ATOMIC_POSITIONS crystal
Sm 0.000 0.500 0.246
Sm 0.500 0.000 0.754
Ni 0.000 0.000 0.000
Ni 0.000 0.500 0.650
Ni 0.500 0.000 0.350
Ni 0.500 0.500 0.000
P 0.000 0.500 0.876
P 0.500 0.000 0.124
P 0.500 0.500 0.500
Ir 0.000 0.000 0.500
```



Pr3Nd8Tm4: relaxed, PBE. Values from VASP.

## Properties
Spin magnetization = 0.0 μB/f.u.

Geometry as Quantum ESPRESSO input:
```
&SYSTEM
  ibrav = 0, nat = 15, ntyp = 3
/
ATOMIC_SPECIES
Pr 140.91 Pr.upf
Nd 144.24 Nd.upf
Tm 168.93 Tm.upf
CELL_PARAMETERS angstrom
6.911 -6.178 0.000
6.911 6.178 0.000
-3.213 0.000 6.105
ATOMIC_POSITIONS crystal
Pr 0.000 0.000 0.000
Pr 0.000 0.500 0.500
Pr 0.500 0.000 0.500
Nd 0.203 0.203 0.667
Nd 0.207 0.793 0.500
Nd 0.254 0.746 0.000
Nd 0.258 0.258 0.193
Nd 0.742 0.742 0.807
Nd 0.746 0.254 0.000
Nd 0.793 0.207 0.500
Nd 0.797 0.797 0.333
Tm 0.000 0.500 0.000
Tm 0.500 0.000 0.000
Tm 0.500 0.500 0.000
Tm 0.500 0.500 0.500
```



LiAcLaPr: relaxed, PBE. Values from VASP.

## Properties
Spin magnetization = 0.0 μB/f.u.

Geometry as Quantum ESPRESSO input:
```
&SYSTEM
  ibrav = 0, nat = 4, ntyp = 4
/
ATOMIC_SPECIES
Li 6.94 Li.upf
Ac 227.00 Ac.upf
La 138.91 La.upf
Pr 140.91 Pr.upf
CELL_PARAMETERS angstrom
0.000 4.155 4.155
4.155 0.000 4.155
4.155 4.155 0.000
ATOMIC_POSITIONS crystal
Li 0.000 0.000 0.000
Ac 0.500 0.500 0.500
La 0.250 0.250 0.250
Pr 0.750 0.750 0.750
```



MnSiSb2Os: relaxed, PBE. Values from VASP.

## Properties
Energy relative to the elements, uncorrected = 31.8 kcal/mol of atoms
Spin magnetization = 4.2 μB/f.u.

Geometry as Quantum ESPRESSO input:
```
&SYSTEM
  ibrav = 0, nat = 5, ntyp = 4
/
ATOMIC_SPECIES
Mn 54.94 Mn.upf
Si 28.09 Si.upf
Sb 121.76 Sb.upf
Os 190.23 Os.upf
CELL_PARAMETERS angstrom
5.034 0.000 0.000
0.000 5.034 0.000
0.000 0.000 4.312
ATOMIC_POSITIONS crystal
Mn 0.000 0.000 0.000
Si 0.000 0.000 0.500
Sb 0.000 0.500 0.500
Sb 0.500 0.000 0.500
Os 0.500 0.500 0.000
```



VPtBr2: relaxed, PBE. Values from VASP.

## Properties
Energy relative to the elements, uncorrected = 13.7 kcal/mol of atoms
Spin magnetization = 2.7 μB/f.u.
ΔE to the lowest computed polymorph = 0.4590 eV per atom

Geometry as Quantum ESPRESSO input:
```
&SYSTEM
  ibrav = 0, nat = 4, ntyp = 3
/
ATOMIC_SPECIES
V 50.94 V.upf
Pt 195.08 Pt.upf
Br 79.90 Br.upf
CELL_PARAMETERS angstrom
1.920 1.108 7.992
-1.920 1.108 7.992
0.000 -2.217 7.992
ATOMIC_POSITIONS crystal
V 0.000 0.000 0.000
Pt 0.500 0.500 0.500
Br 0.102 0.102 0.102
Br 0.898 0.898 0.898
```



GaBiO3: relaxed, PBE. Values from VASP.

## Properties
Energy relative to the elements, uncorrected = -35.6 kcal/mol of atoms
Spin magnetization = 0.0 μB/f.u.

Geometry as Quantum ESPRESSO input:
```
&SYSTEM
  ibrav = 0, nat = 20, ntyp = 3
/
ATOMIC_SPECIES
Ga 69.72 Ga.upf
Bi 208.98 Bi.upf
O 16.00 O.upf
CELL_PARAMETERS angstrom
5.502 0.000 0.000
0.000 5.194 0.000
0.000 0.000 10.117
ATOMIC_POSITIONS crystal
Ga 0.250 0.000 0.144
Ga 0.250 0.000 0.644
Ga 0.750 0.000 0.356
Ga 0.750 0.000 0.856
Bi 0.250 0.500 0.391
Bi 0.250 0.500 0.891
Bi 0.750 0.500 0.109
Bi 0.750 0.500 0.609
O 0.000 0.147 0.250
O 0.000 0.853 0.750
O 0.096 0.268 0.555
O 0.096 0.732 0.055
O 0.404 0.268 0.055
O 0.404 0.732 0.555
O 0.500 0.147 0.750
O 0.500 0.853 0.250
O 0.596 0.268 0.445
O 0.596 0.732 0.945
O 0.904 0.268 0.945
O 0.904 0.732 0.445
```



Ba5ZnAu4: relaxed, PBE. Values from VASP.

## Properties
Spin magnetization = 0.0 μB/f.u.

Geometry as Quantum ESPRESSO input:
```
&SYSTEM
  ibrav = 0, nat = 10, ntyp = 3
/
ATOMIC_SPECIES
Ba 137.33 Ba.upf
Zn 65.41 Zn.upf
Au 196.97 Au.upf
CELL_PARAMETERS angstrom
4.049 0.000 0.000
0.000 4.049 0.000
0.000 0.000 20.281
ATOMIC_POSITIONS crystal
Ba 0.000 0.000 0.000
Ba 0.000 0.000 0.198
Ba 0.000 0.000 0.396
Ba 0.000 0.000 0.604
Ba 0.000 0.000 0.802
Zn 0.500 0.500 0.500
Au 0.500 0.500 0.099
Au 0.500 0.500 0.299
Au 0.500 0.500 0.701
Au 0.500 0.500 0.901
```



SrAgP2Cl: relaxed, PBE. Values from VASP.

## Properties
Energy relative to the elements, uncorrected = 13.8 kcal/mol of atoms
Spin magnetization = 2.3 μB/f.u.
ΔE to the lowest computed polymorph = 0.7460 eV per atom

Geometry as Quantum ESPRESSO input:
```
&SYSTEM
  ibrav = 0, nat = 5, ntyp = 4
/
ATOMIC_SPECIES
Sr 87.62 Sr.upf
Ag 107.87 Ag.upf
P 30.97 P.upf
Cl 35.45 Cl.upf
CELL_PARAMETERS angstrom
5.798 0.000 0.000
0.000 5.798 0.000
0.000 0.000 5.451
ATOMIC_POSITIONS crystal
Sr 0.000 0.000 0.000
Ag 0.500 0.500 0.500
P 0.000 0.500 0.000
P 0.500 0.000 0.000
Cl 0.000 0.000 0.500
```



CaHf3Br: relaxed, PBE. Values from VASP.

## Properties
Energy relative to the elements, uncorrected = 10.9 kcal/mol of atoms
Spin magnetization = 0.0 μB/f.u.
ΔE to the lowest computed polymorph = 0.0000 eV per atom

Geometry as Quantum ESPRESSO input:
```
&SYSTEM
  ibrav = 0, nat = 5, ntyp = 3
/
ATOMIC_SPECIES
Ca 40.08 Ca.upf
Hf 178.49 Hf.upf
Br 79.90 Br.upf
CELL_PARAMETERS angstrom
5.056 0.000 0.000
0.000 5.056 0.000
0.000 0.000 5.056
ATOMIC_POSITIONS crystal
Ca 0.000 0.000 0.000
Hf 0.000 0.500 0.500
Hf 0.500 0.000 0.500
Hf 0.500 0.500 0.000
Br 0.500 0.500 0.500
```



AcIn2SnPd4: relaxed, PBE. Values from VASP.

## Properties
Spin magnetization = 0.0 μB/f.u.

Geometry as Quantum ESPRESSO input:
```
&SYSTEM
  ibrav = 0, nat = 8, ntyp = 4
/
ATOMIC_SPECIES
Ac 227.00 Ac.upf
In 114.82 In.upf
Sn 118.71 Sn.upf
Pd 106.42 Pd.upf
CELL_PARAMETERS angstrom
2.315 1.336 9.244
-2.315 1.336 9.244
0.000 -2.673 9.244
ATOMIC_POSITIONS crystal
Ac 0.000 0.000 0.000
In 0.243 0.243 0.243
In 0.757 0.757 0.757
Sn 0.500 0.500 0.500
Pd 0.136 0.136 0.136
Pd 0.402 0.402 0.402
Pd 0.598 0.598 0.598
Pd 0.864 0.864 0.864
```



Pm2Ti3O9: relaxed, PBE. Values from VASP.

## Properties
Energy relative to the elements, uncorrected = -72.2 kcal/mol of atoms
Spin magnetization = 0.0 μB/f.u.

Geometry as Quantum ESPRESSO input:
```
&SYSTEM
  ibrav = 0, nat = 28, ntyp = 3
/
ATOMIC_SPECIES
Pm 145.00 Pm.upf
Ti 47.87 Ti.upf
O 16.00 O.upf
CELL_PARAMETERS angstrom
6.831 0.000 0.000
-3.416 5.916 0.000
0.000 0.000 11.422
ATOMIC_POSITIONS crystal
Pm 0.333 0.667 0.003
Pm 0.333 0.667 0.497
Pm 0.667 0.333 0.503
Pm 0.667 0.333 0.997
Ti 0.008 0.723 0.750
Ti 0.277 0.285 0.750
Ti 0.285 0.008 0.250
Ti 0.715 0.992 0.750
Ti 0.723 0.715 0.250
Ti 0.992 0.277 0.250
O 0.007 0.590 0.610
O 0.007 0.590 0.890
O 0.008 0.756 0.250
O 0.244 0.252 0.250
O 0.252 0.008 0.750
O 0.410 0.417 0.610
O 0.410 0.417 0.890
O 0.417 0.007 0.110
O 0.417 0.007 0.390
O 0.583 0.993 0.610
O 0.583 0.993 0.890
O 0.590 0.583 0.110
O 0.590 0.583 0.390
O 0.748 0.992 0.250
O 0.756 0.748 0.750
O 0.992 0.244 0.750
O 0.993 0.410 0.110
O 0.993 0.410 0.390
```



CdMoOs2: relaxed, PBE. Values from VASP.

## Properties
Spin magnetization = 0.0 μB/f.u.

Geometry as Quantum ESPRESSO input:
```
&SYSTEM
  ibrav = 0, nat = 4, ntyp = 3
/
ATOMIC_SPECIES
Cd 112.41 Cd.upf
Mo 95.94 Mo.upf
Os 190.23 Os.upf
CELL_PARAMETERS angstrom
2.874 0.000 0.000
0.000 4.649 0.000
0.000 0.000 4.784
ATOMIC_POSITIONS crystal
Cd 0.000 0.000 0.000
Mo 0.500 0.000 0.500
Os 0.000 0.500 0.500
Os 0.500 0.500 0.000
```



BaAlAsSe2: relaxed, PBE. Values from VASP.

## Properties
Energy relative to the elements, uncorrected = -17.9 kcal/mol of atoms
Spin magnetization = 0.0 μB/f.u.
ΔE to the lowest computed polymorph = 0.0000 eV per atom

Geometry as Quantum ESPRESSO input:
```
&SYSTEM
  ibrav = 0, nat = 5, ntyp = 4
/
ATOMIC_SPECIES
Ba 137.33 Ba.upf
Al 26.98 Al.upf
As 74.92 As.upf
Se 78.96 Se.upf
CELL_PARAMETERS angstrom
5.218 0.000 0.000
0.000 5.218 0.000
0.000 0.000 4.834
ATOMIC_POSITIONS crystal
Ba 0.000 0.000 0.000
Al 0.500 0.500 0.500
As 0.500 0.500 0.000
Se 0.000 0.500 0.500
Se 0.500 0.000 0.500
```



CsSm2OsO8: relaxed, PBE. Values from VASP.

## Properties
Energy relative to the elements, uncorrected = -44.8 kcal/mol of atoms
Spin magnetization = 1.0 μB/f.u.

Geometry as Quantum ESPRESSO input:
```
&SYSTEM
  ibrav = 0, nat = 12, ntyp = 4
/
ATOMIC_SPECIES
Cs 132.91 Cs.upf
Sm 150.36 Sm.upf
Os 190.23 Os.upf
O 16.00 O.upf
CELL_PARAMETERS angstrom
4.776 0.000 0.000
-0.502 4.776 0.000
-0.794 -0.836 7.985
ATOMIC_POSITIONS crystal
Cs 0.000 0.000 0.000
Sm 0.447 0.451 0.716
Sm 0.553 0.549 0.284
Os 0.000 0.000 0.500
O 0.095 0.727 0.332
O 0.272 0.906 0.671
O 0.277 0.273 0.439
O 0.392 0.603 0.000
O 0.608 0.397 0.000
O 0.723 0.727 0.561
O 0.728 0.094 0.329
O 0.905 0.273 0.668
```



Tm2Tl3SnSe6: relaxed, PBE. Values from VASP.

## Properties
Energy relative to the elements, uncorrected = -23.9 kcal/mol of atoms
Spin magnetization = 0.0 μB/f.u.

Geometry as Quantum ESPRESSO input:
```
&SYSTEM
  ibrav = 0, nat = 12, ntyp = 4
/
ATOMIC_SPECIES
Tm 168.93 Tm.upf
Tl 204.38 Tl.upf
Sn 118.71 Sn.upf
Se 78.96 Se.upf
CELL_PARAMETERS angstrom
3.612 -6.263 0.000
3.612 6.263 0.000
-2.381 0.000 7.671
ATOMIC_POSITIONS crystal
Tm 0.167 0.833 0.000
Tm 0.833 0.167 0.000
Tl 0.000 0.000 0.500
Tl 0.331 0.669 0.500
Tl 0.669 0.331 0.500
Sn 0.500 0.500 0.000
Se 0.094 0.433 0.797
Se 0.229 0.229 0.204
Se 0.433 0.094 0.797
Se 0.567 0.906 0.203
Se 0.771 0.771 0.796
Se 0.906 0.567 0.203
```



VBiSb2I: relaxed, PBE. Values from VASP.

## Properties
Energy relative to the elements, uncorrected = 9.0 kcal/mol of atoms
Spin magnetization = 2.0 μB/f.u.
ΔE to the lowest computed polymorph = 0.0000 eV per atom

Geometry as Quantum ESPRESSO input:
```
&SYSTEM
  ibrav = 0, nat = 5, ntyp = 4
/
ATOMIC_SPECIES
V 50.94 V.upf
Bi 208.98 Bi.upf
Sb 121.76 Sb.upf
I 126.90 I.upf
CELL_PARAMETERS angstrom
5.244 0.000 0.000
0.000 5.244 0.000
0.000 0.000 5.455
ATOMIC_POSITIONS crystal
V 0.000 0.000 0.000
Bi 0.500 0.500 0.500
Sb 0.000 0.500 0.000
Sb 0.500 0.000 0.000
I 0.000 0.000 0.500
```



LaPm2SmY5: relaxed, PBE. Values from VASP.

## Properties
Spin magnetization = 0.0 μB/f.u.

Geometry as Quantum ESPRESSO input:
```
&SYSTEM
  ibrav = 0, nat = 18, ntyp = 4
/
ATOMIC_SPECIES
La 138.91 La.upf
Pm 145.00 Pm.upf
Sm 150.36 Sm.upf
Y 88.91 Y.upf
CELL_PARAMETERS angstrom
-4.397 4.397 7.829
4.397 -4.397 7.829
4.397 4.397 -7.829
ATOMIC_POSITIONS crystal
La 0.250 0.250 0.000
La 0.750 0.750 0.000
Pm 0.117 0.617 0.733
Pm 0.383 0.117 0.500
Pm 0.617 0.883 0.500
Pm 0.883 0.383 0.267
Sm 0.250 0.750 0.500
Sm 0.750 0.250 0.500
Y 0.000 0.000 0.000
Y 0.072 0.157 0.500
Y 0.157 0.657 0.085
Y 0.343 0.428 0.500
Y 0.428 0.928 0.085
Y 0.500 0.500 0.000
Y 0.572 0.072 0.915
Y 0.657 0.572 0.500
Y 0.843 0.343 0.915
Y 0.928 0.843 0.500
```



YAg3Au: relaxed, PBE. Values from VASP.

## Properties
Spin magnetization = 0.0 μB/f.u.
ΔE to the lowest computed polymorph = 0.7750 eV per atom

Geometry as Quantum ESPRESSO input:
```
&SYSTEM
  ibrav = 0, nat = 5, ntyp = 3
/
ATOMIC_SPECIES
Y 88.91 Y.upf
Ag 107.87 Ag.upf
Au 196.97 Au.upf
CELL_PARAMETERS angstrom
5.444 0.000 0.000
0.000 5.444 0.000
0.000 0.000 5.444
ATOMIC_POSITIONS crystal
Y 0.000 0.000 0.000
Ag 0.000 0.000 0.500
Ag 0.000 0.500 0.000
Ag 0.500 0.000 0.000
Au 0.500 0.500 0.500
```



no.,VASP energy (hartree per atom)
1,-0.090
2,-0.170
3,-0.184
4,-0.241
5,-0.160
6,-0.137
7,-0.200
8,-0.148
9,-0.217
10,-0.109
11,-0.104
12,-0.229
13,-0.180
14,-0.319
15,-0.287
16,-0.156
17,-0.259
18,-0.163
19,-0.153
20,-0.201
21,-0.093